Density functional theory data (GGA-PBEsol) for a relaxed structure of Ta2FeMo.

Lattice parameters (Å, degrees): 3.1331 3.1331 6.1630 90.00 90.00 90.00
Fractional positions:
Ta1 0.0000 0.0000 0.7572
Fe1 0.5000 0.5000 0.0000
Ta2 0.0000 0.0000 0.2428
Mo1 0.5000 0.5000 0.5000

Energy above the lowest structure with this stoichiometry: 19.8 meV/atom
Formation enthalpy at 0 K: -0.16 eV per atom
Uncorrected energy: -46.46 eV per cell
V: 60.5 Å³/cell
D(E_F): 2.69 states/eV/f.u.
Symmetry: P4/mmm